No. 1
YSbSe2 | GGA-PBE | relaxed

The structure in CIF format:
```
data_YSbSe2
_chemical_formula_sum 'Y1 Sb1 Se2'
_cell_length_a 3.626
_cell_length_b 3.665
_cell_length_c 7.817
_cell_angle_alpha 90.00
_cell_angle_beta 90.45
_cell_angle_gamma 90.00
_space_group_name_H-M_alt 'P 1 2/m 1'
_space_group_IT_number 10
_space_group_name_Hall '-P 2y'
loop_
_atom_site_label
_atom_site_type_symbol
_atom_site_fract_x
_atom_site_fract_y
_atom_site_fract_z
Y1 Y 0.000 0.000 0.000
Sb1 Sb 0.500 0.000 0.500
Se1 Se 0.497 0.500 0.799
```

Computed properties:
E: -5.3187 eV per atom
Fermi-level density of states: 1.081 states/eV per cell
E_form (uncorrected): -89.71 kJ per mole of atoms

=====

No. 2
InSiTc2Sb | GGA-PBE | relaxed

The structure in CIF format:
```
data_InSiTc2Sb
_chemical_formula_sum 'In1 Si1 Tc2 Sb1'
_cell_length_a 4.955
_cell_length_b 4.955
_cell_length_c 5.461
_cell_angle_alpha 90.00
_cell_angle_beta 90.00
_cell_angle_gamma 90.00
_space_group_name_H-M_alt 'P 4/m m m'
_space_group_IT_number 123
_space_group_name_Hall '-P 4 2'
loop_
_atom_site_label
_atom_site_type_symbol
_atom_site_fract_x
_atom_site_fract_y
_atom_site_fract_z
In1 In 0.000 0.000 0.000
Si1 Si 0.500 0.500 0.000
Tc1 Tc 0.000 0.500 0.500
Sb1 Sb 0.000 0.000 0.500
```

Computed properties:
E: -4.8062 eV per atom
Fermi-level density of states: 5.951 states/eV per cell
E_form (uncorrected): 173.38 kJ per mole of atoms

=====

No. 3
RbAlSnOs2 | GGA-PBE | relaxed

The structure in CIF format:
```
data_RbAlSnOs2
_chemical_formula_sum 'Rb1 Al1 Sn1 Os2'
_cell_length_a 4.879
_cell_length_b 4.879
_cell_length_c 5.539
_cell_angle_alpha 90.00
_cell_angle_beta 90.00
_cell_angle_gamma 90.00
_space_group_name_H-M_alt 'P 4/m m m'
_space_group_IT_number 123
_space_group_name_Hall '-P 4 2'
loop_
_atom_site_label
_atom_site_type_symbol
_atom_site_fract_x
_atom_site_fract_y
_atom_site_fract_z
Rb1 Rb 0.000 0.000 0.000
Al1 Al 0.500 0.500 0.500
Sn1 Sn 0.000 0.000 0.500
Os1 Os 0.000 0.500 0.000
```

Computed properties:
E: -2.9892 eV per atom
Fermi-level density of states: 6.489 states/eV per cell
E_form: 3.25 eV/atom

=====

No. 4
Li3Zn4Ag3 | GGA-PBE | relaxed

The structure in CIF format:
```
data_Li3Zn4Ag3
_chemical_formula_sum 'Li6 Zn8 Ag6'
_cell_length_a 2.984
_cell_length_b 10.715
_cell_length_c 10.518
_cell_angle_alpha 90.00
_cell_angle_beta 90.00
_cell_angle_gamma 90.00
_space_group_name_H-M_alt 'A m m 2'
_space_group_IT_number 38
_space_group_name_Hall 'A 2 -2'
loop_
_atom_site_label
_atom_site_type_symbol
_atom_site_fract_x
_atom_site_fract_y
_atom_site_fract_z
Li1 Li 0.000 0.000 0.000
Li2 Li 0.500 0.243 0.579
Zn1 Zn 0.500 0.000 0.197
Zn2 Zn 0.500 0.000 0.452
Zn3 Zn 0.500 0.123 0.837
Ag1 Ag 0.000 0.000 0.658
Ag2 Ag 0.000 0.175 0.323
```

Computed properties:
E: -2.0546 eV per atom
Fermi-level density of states: 5.888 states/eV per cell
E_form: -0.12 eV/atom

=====

No. 5
Al3GeAu | GGA-PBE | relaxed

The structure in CIF format:
```
data_Al3GeAu
_chemical_formula_sum 'Al3 Ge1 Au1'
_cell_length_a 4.842
_cell_length_b 4.842
_cell_length_c 4.842
_cell_angle_alpha 90.00
_cell_angle_beta 90.00
_cell_angle_gamma 90.00
_space_group_name_H-M_alt 'P m -3 m'
_space_group_IT_number 221
_space_group_name_Hall '-P 4 2 3'
loop_
_atom_site_label
_atom_site_type_symbol
_atom_site_fract_x
_atom_site_fract_y
_atom_site_fract_z
Al1 Al 0.000 0.000 0.500
Ge1 Ge 0.000 0.000 0.000
Au1 Au 0.500 0.500 0.500
```

Computed properties:
E: -3.2213 eV per atom
Fermi-level density of states: 2.415 states/eV per cell
E_form: 0.60 eV/atom
energy above the most stable polymorph in this dataset: 219 meV/atom

=====

No. 6
TaNb6Pd | GGA-PBE | relaxed

The structure in CIF format:
```
data_TaNb6Pd
_chemical_formula_sum 'Ta2 Nb12 Pd2'
_cell_length_a 4.667
_cell_length_b 4.667
_cell_length_c 13.149
_cell_angle_alpha 90.00
_cell_angle_beta 90.00
_cell_angle_gamma 90.00
_space_group_name_H-M_alt 'I 4/m m m'
_space_group_IT_number 139
_space_group_name_Hall '-I 4 2'
loop_
_atom_site_label
_atom_site_type_symbol
_atom_site_fract_x
_atom_site_fract_y
_atom_site_fract_z
Ta1 Ta 0.000 0.000 0.000
Nb1 Nb 0.000 0.000 0.245
Nb2 Nb 0.000 0.500 0.126
Pd1 Pd 0.000 0.000 0.500
```

Computed properties:
E: -9.7611 eV per atom
Fermi-level density of states: 13.873 states/eV per cell
E_form: -0.08 eV/atom
energy above the most stable polymorph in this dataset: 0 meV/atom

=====

> Fermi-level density of states of number 3 (RbAlSnOs2)?

6.489 states/eV per cell